Below is a relaxed structure of AlCu2Mo, with properties calculated at the PBE level.

Lattice parameters (Å, degrees): 2.7463 2.7463 25.7410 90.00 90.00 120.00
Space group R3m (No. 160, hexagonal axes)
One atom of each set of equivalent atoms:
Al1 0.0000 0.0000 0.0000 [3 per cell]
Cu1 0.0000 0.0000 0.4930 [3 per cell]
Cu2 0.0000 0.0000 0.7467 [3 per cell]
Mo1 0.0000 0.0000 0.2454 [3 per cell]

Values from the calculation:
- ΔH_f (0 K) (eV per formula unit) = 0.33
- magnetization (μB/f.u.) = 0.0